1.
# Ba2Ga2Sb2P (PBE-GGA, optimized geometry)
data_Ba2Ga2Sb2P
_chemical_formula_sum 'Ba4 Ga4 Sb4 P2'
_cell_length_a 12.777
_cell_length_b 4.218
_cell_length_c 8.478
_cell_angle_alpha 90.00
_cell_angle_beta 112.06
_cell_angle_gamma 90.00
_space_group_name_H-M_alt 'C 1 2/m 1'
_space_group_IT_number 12
loop_
_space_group_symop_operation_xyz
'x,y,z'
'-x,-y,-z'
'-x,y,-z'
'x,-y,z'
'x+1/2,y+1/2,z'
'-x+1/2,-y+1/2,-z'
'-x+1/2,y+1/2,-z'
'x+1/2,-y+1/2,z'
loop_
_atom_site_label
_atom_site_type_symbol
_atom_site_fract_x
_atom_site_fract_y
_atom_site_fract_z
Ba1 Ba 0.006 0.000 0.233
Ga1 Ga 0.206 0.500 0.609
Sb1 Sb 0.218 0.500 0.118
P1 P 0.000 0.500 0.500
# energy relative to the elements, uncorrected = -0.5755 eV/atom

---

2.
# CeInPb (PBE-GGA, optimized geometry)
data_CeInPb
_chemical_formula_sum 'Ce4 In4 Pb4'
_cell_length_a 5.945
_cell_length_b 9.016
_cell_length_c 6.510
_cell_angle_alpha 90.00
_cell_angle_beta 90.00
_cell_angle_gamma 90.00
_space_group_name_H-M_alt 'C m c m'
_space_group_IT_number 63
_space_group_name_Hall '-C 2c 2'
loop_
_atom_site_label
_atom_site_type_symbol
_atom_site_fract_x
_atom_site_fract_y
_atom_site_fract_z
Ce1 Ce 0.000 0.169 0.250
In1 In 0.000 0.500 0.000
Pb1 Pb 0.000 0.185 0.750
# ΔH_f (0 K) = -6.60 kcal/mol of atoms
# polymorph energy (0 for the lowest one) = 0.0 meV/atom

---

Which total moment belongs to each record? In order, 0.000, 0.889 μB/f.u..